No. 1
{"formula": "ScCo3C", "functional": "GGA-PBE", "state": "optimized geometry", "cell": [[-0.210, 3.727, 0.768], [-1.602, -0.784, 3.368], [3.452, -0.138, 1.610]], "species": ["Co", "Co", "C", "Sc", "Co"], "fractional_positions": [[0.000, 0.500, 0.000], [0.000, 0.000, 0.500], [0.000, 0.000, 0.000], [0.500, 0.500, 0.500], [0.500, 0.000, 0.000]], "dft_energy_ev_per_cell": -38.34, "e_form_ev_per_atom": -0.294}

No. 2
{"formula": "Ac3PdN", "functional": "GGA-PBE", "state": "optimized geometry", "cell": [[-5.005, -1.010, 1.282], [1.566, -4.141, 2.849], [0.462, 3.089, 4.238]], "species": ["Pd", "Ac", "Ac", "Ac", "N"], "fractional_positions": [[0.500, 0.500, 0.500], [0.000, 0.000, 0.500], [0.500, 0.000, 0.000], [0.000, 0.500, 0.000], [0.000, 0.000, 0.000]], "dft_energy_ev_per_cell": -28.47, "formation_energy_uncorrected_kj_per_mol_atoms": -50.7}

No. 3
{"formula": "Sm3Tl5O12", "functional": "GGA-PBE", "state": "optimized geometry", "cell": [[11.773, 0.000, 0.000], [-3.924, 11.100, 0.000], [-3.924, -5.550, 9.612]], "species": ["O", "O", "O", "O", "Sm", "Sm", "O", "Sm", "Tl", "O", "O", "O", "Tl", "O", "O", "O", "Sm", "Tl", "O", "O", "O", "O", "O", "O", "Sm", "Tl", "O", "Tl", "Tl", "O", "Tl", "O", "O", "O", "O", "O", "O", "O", "Tl", "Tl", "Tl", "Tl", "Tl", "Sm", "O", "O", "Sm", "O", "O", "O", "Sm", "Sm", "O", "Tl", "O", "O", "O", "O", "O", "O", "Tl", "Tl", "O", "O", "O", "O", "Tl", "O", "Tl", "O", "O", "O", "Tl", "Sm", "O", "Tl", "Sm", "Sm", "Tl", "O"], "fractional_positions": [[0.671, 0.220, 0.584], [0.588, 0.951, 0.671], [0.363, 0.951, 0.780], [0.363, 0.412, 0.084], [0.250, 0.125, 0.375], [0.875, 0.750, 0.125], [0.084, 0.912, 0.363], [0.750, 0.375, 0.125], [0.250, 0.875, 0.125], [0.416, 0.137, 0.588], [0.416, 0.280, 0.329], [0.912, 0.829, 0.549], [0.500, 0.000, 0.000], [0.280, 0.863, 0.951], [0.780, 0.451, 0.363], [0.280, 0.416, 0.829], [0.625, 0.375, 0.750], [0.875, 0.625, 0.750], [0.829, 0.912, 0.049], [0.912, 0.084, 0.863], [0.412, 0.049, 0.329], [0.549, 0.329, 0.912], [0.780, 0.329, 0.916], [0.951, 0.363, 0.280], [0.875, 0.125, 0.250], [0.375, 0.125, 0.750], [0.549, 0.220, 0.137], [0.500, 0.000, 0.500], [0.125, 0.750, 0.375], [0.588, 0.637, 0.416], [0.375, 0.250, 0.125], [0.084, 0.171, 0.220], [0.720, 0.137, 0.049], [0.220, 0.671, 0.084], [0.584, 0.720, 0.671], [0.916, 0.088, 0.637], [0.088, 0.916, 0.137], [0.720, 0.584, 0.171], [0.000, 0.000, 0.000], [0.250, 0.375, 0.625], [0.875, 0.250, 0.625], [0.625, 0.750, 0.875], [0.750, 0.625, 0.375], [0.125, 0.875, 0.750], [0.137, 0.416, 0.088], [0.863, 0.584, 0.912], [0.375, 0.625, 0.250], [0.088, 0.171, 0.451], [0.329, 0.780, 0.416], [0.171, 0.084, 0.720], [0.625, 0.250, 0.375], [0.375, 0.750, 0.625], [0.451, 0.780, 0.863], [0.625, 0.875, 0.250], [0.049, 0.412, 0.829], [0.584, 0.863, 0.412], [0.951, 0.588, 0.171], [0.671, 0.451, 0.588], [0.451, 0.671, 0.088], [0.137, 0.720, 0.549], [0.000, 0.500, 0.000], [0.750, 0.125, 0.875], [0.220, 0.549, 0.637], [0.171, 0.088, 0.951], [0.829, 0.916, 0.280], [0.049, 0.637, 0.720], [0.000, 0.500, 0.500], [0.863, 0.280, 0.451], [0.000, 0.000, 0.500], [0.329, 0.549, 0.412], [0.916, 0.829, 0.780], [0.637, 0.049, 0.220], [0.125, 0.375, 0.250], [0.750, 0.875, 0.625], [0.637, 0.588, 0.916], [0.500, 0.500, 0.000], [0.250, 0.625, 0.875], [0.125, 0.250, 0.875], [0.500, 0.500, 0.500], [0.412, 0.363, 0.584]], "dft_energy_ev_per_cell": -473.86, "formation_energy_uncorrected_kj_per_mol_atoms": -159.1}